## Ac2Ga6CoPd (PBE-GGA)

Data for Ac2Ga6CoPd after structural relaxation.

Cell lengths 7.005, 6.418, 6.423 Å; angles 60.05, 62.53, 90.03 degrees
Positions (direct):
Ac  0.126  0.709  0.582
Ac  0.874  0.291  0.418
Co  0.500  0.500  0.000
Ga  0.658  0.744  0.089
Ga  0.342  0.256  0.911
Ga  0.342  0.832  0.912
Ga  0.658  0.745  0.510
Ga  0.658  0.168  0.088
Ga  0.342  0.255  0.490
Pd  0.000  0.000  0.000

Values from the calculation:
As for the space group: C2/m, No. 12. The calculation puts the density of states at the Fermi level at 0.462 states/eV per atom. The calculation puts the energy of formation at -11.4 kcal/mol of atoms.


## AcPmGaCo (PBE-GGA)

Data for AcPmGaCo after structural relaxation.

Cell lengths 5.240, 5.240, 5.240 Å; angles 60.00, 60.00, 60.00 degrees
Positions (direct):
Ga  0.750  0.750  0.750
Pm  0.000  0.000  0.000
Ac  0.500  0.500  0.500
Co  0.250  0.250  0.250

Values from the calculation:
As for the space group: F-43m, No. 216. The calculation puts the density of states at the Fermi level at 0.716 states/eV per atom. The calculation puts the energy of formation at -2.7 kcal/mol of atoms.


## Ac2Ga6CoRh (PBE-GGA)

Data for Ac2Ga6CoRh after structural relaxation.

Cell lengths 6.728, 6.729, 6.751 Å; angles 59.90, 59.91, 89.99 degrees
Positions (direct):
Co  0.500  0.500  0.000
Ga  0.258  0.258  0.000
Ga  0.742  0.742  0.000
Ga  0.742  0.257  0.000
Ga  0.257  0.257  0.485
Ga  0.743  0.743  0.515
Ga  0.258  0.743  0.000
Ac  0.250  0.750  0.500
Ac  0.750  0.250  0.500
Rh  0.000  0.000  0.000

Values from the calculation:
As for the space group: Immm, No. 71. The calculation puts the density of states at the Fermi level at 0.795 states/eV per atom. The calculation puts the energy of formation at -10.6 kcal/mol of atoms.


## AcGa2CoRu (PBE-GGA)

Data for AcGa2CoRu after structural relaxation.

Cell lengths 4.408, 4.408, 5.859 Å; angles 112.10, 112.10, 90.00 degrees
Positions (direct):
Ga  0.640  0.640  0.281
Ga  0.360  0.360  0.719
Co  0.750  0.250  0.500
Ac  0.000  0.000  0.000
Ru  0.250  0.750  0.500

Values from the calculation:
As for the space group: I-4m2, No. 119. The calculation puts the density of states at the Fermi level at 0.337 states/eV per atom. The calculation puts the energy of formation at -8.9 kcal/mol of atoms.


## Ac2Ga2CoRu (PBE-GGA)

Data for Ac2Ga2CoRu after structural relaxation.

Cell lengths 6.265, 6.336, 8.491 Å; angles 111.91, 111.65, 90.00 degrees
Positions (direct):
Ga  0.820  0.083  0.166
Ga  0.346  0.583  0.166
Ga  0.180  0.917  0.834
Ga  0.654  0.417  0.834
Ac  0.906  0.650  0.301
Ac  0.605  0.850  0.699
Ac  0.094  0.350  0.699
Ac  0.395  0.150  0.301
Ru  0.000  0.250  0.000
Ru  0.000  0.750  0.000
Co  0.500  0.750  0.000
Co  0.500  0.250  0.000

Values from the calculation:
As for the space group: Ibam, No. 72. The calculation puts the density of states at the Fermi level at 0.789 states/eV per atom. The calculation puts the energy of formation at -9.3 kcal/mol of atoms.


## Ac2Ga6CoRu (PBE-GGA)

Data for Ac2Ga6CoRu after structural relaxation.

Cell lengths 6.588, 6.804, 6.594 Å; angles 60.96, 60.03, 90.00 degrees
Positions (direct):
Ga  0.688  0.202  0.056
Ga  0.257  0.202  0.056
Ga  0.743  0.798  0.514
Ga  0.257  0.202  0.486
Ga  0.743  0.798  0.944
Ga  0.312  0.798  0.944
Ac  0.777  0.331  0.447
Ac  0.223  0.669  0.553
Co  0.500  0.500  0.000
Ru  0.000  0.000  0.000

Values from the calculation:
As for the space group: C2/m, No. 12. The calculation puts the density of states at the Fermi level at 0.473 states/eV per atom. The calculation puts the energy of formation at -10.4 kcal/mol of atoms.


Q: Which of these has the highest energy of formation?
A: AcPmGaCo


Q: Number 2 is which compound?
A: AcPmGaCo


Q: Which value of energy of formation does entry 4 give?
A: -8.9 kcal/mol of atoms